# LiNbP2O7 (GGA-PBE, relaxed)
data_LiNbP2O7
_symmetry_space_group_name_H-M 'P 1'
_symmetry_Int_Tables_number 1
_symmetry_space_group_name_Hall 'P 1'
_cell_length_a 5.001
_cell_length_b 8.724
_cell_length_c 7.158
_cell_angle_alpha 90.00
_cell_angle_beta 107.08
_cell_angle_gamma 90.00
loop_
_atom_site_label
_atom_site_fract_x
_atom_site_fract_y
_atom_site_fract_z
Li1 0.179 0.000 0.159
Li2 0.821 0.500 0.841
Nb1 0.201 0.654 0.221
Nb2 0.799 0.154 0.779
P1 0.239 0.944 0.584
P2 0.397 0.330 0.039
P3 0.603 0.830 0.961
P4 0.761 0.444 0.416
O1 0.008 0.482 0.341
O2 0.156 0.865 0.385
O3 0.203 0.189 0.005
O4 0.232 0.480 0.005
O5 0.393 0.825 0.081
O6 0.420 0.086 0.579
O7 0.428 0.818 0.734
O8 0.572 0.318 0.266
O9 0.580 0.586 0.421
O10 0.607 0.325 0.919
O11 0.768 0.980 0.995
O12 0.797 0.689 0.995
O13 0.844 0.365 0.615
O14 0.992 0.982 0.659
# final energy = -7.413 eV per atom
# mass density = 3.05 g/cm3
# size of the total moment = 2.00 μB per formula unit
# formation energy (no corrections) = -2.185 eV/atom

---

# PtPb3I (GGA-PBE, relaxed)
data_PtPb3I
_symmetry_space_group_name_H-M 'P 1'
_symmetry_Int_Tables_number 1
_symmetry_space_group_name_Hall 'P 1'
_cell_length_a 5.524
_cell_length_b 5.524
_cell_length_c 5.524
_cell_angle_alpha 90.00
_cell_angle_beta 90.00
_cell_angle_gamma 90.00
loop_
_atom_site_label
_atom_site_fract_x
_atom_site_fract_y
_atom_site_fract_z
Pt1 0.000 0.000 0.000
Pb1 0.000 0.000 0.500
Pb2 0.000 0.500 0.000
Pb3 0.500 0.000 0.000
I1 0.500 0.500 0.500
# final energy = -3.736 eV per atom
# mass density = 9.29 g/cm3
# size of the total moment = 0.00 μB per formula unit
# polymorph energy (0 for the lowest one) = 0.00 eV/f.u.
# formation energy (no corrections) = 0.007 eV/atom